# Sm2SnHg

A relaxed structure of Sm2SnHg (PBE, Alexandria via LeMat-Bulk).

Cell: 4.5036 6.2583 8.8899 Å, 111.41 90.00 90.00°
Atoms (fractional coordinates):
1 Sm 0.7500 0.2239 0.4306
2 Sm 0.2500 0.7761 0.5694
3 Sm 0.2500 0.7813 0.0705
4 Sm 0.7500 0.2187 0.9295
5 Sn 0.7500 0.6691 0.2918
6 Sn 0.2500 0.3309 0.7082
7 Hg 0.2500 0.3204 0.2027
8 Hg 0.7500 0.6796 0.7973

Values from the calculation:
For the energy of formation from the pure elements, the calculation gives -596 meV per atom. Its crystal system is monoclinic.

---

# LiHfSn2

A relaxed structure of LiHfSn2 (PBE, Alexandria via LeMat-Bulk).

Cell: 3.5272 3.5272 6.7350 Å, 90.00 90.00 90.00°
Atoms (fractional coordinates):
1 Hf 0.5000 0.5000 0.5000
2 Sn 0.0000 0.0000 0.7679
3 Sn 0.0000 0.0000 0.2321
4 Li 0.5000 0.5000 0.0000

Values from the calculation:
For the energy of formation from the pure elements, the calculation gives -213 meV per atom. Its crystal system is tetragonal. The energy above the lowest structure with this stoichiometry comes out at 47.5 meV/atom.

---

# LaPr2Sb

A relaxed structure of LaPr2Sb (PBE, Alexandria via LeMat-Bulk).

Cell: 4.2556 6.5566 10.3203 Å, 90.00 90.00 108.94°
Atoms (fractional coordinates):
1 La 0.9409 0.8818 0.2500
2 La 0.0591 0.1182 0.7500
3 Pr 0.3608 0.7215 0.9599
4 Pr 0.6392 0.2785 0.0401
5 Pr 0.6392 0.2785 0.4599
6 Pr 0.3608 0.7215 0.5401
7 Sb 0.2351 0.4703 0.2500
8 Sb 0.7649 0.5297 0.7500

Values from the calculation:
The calculation puts the uncorrected formation energy at -0.592 eV per atom. Its crystal system is orthorhombic. The energy above the lowest structure with this stoichiometry comes out at 0.0 meV/atom.

---

# Pr4PIrI2

A relaxed structure of Pr4PIrI2 (PBE, Alexandria via LeMat-Bulk).

Cell: 4.1815 7.6719 8.2472 Å, 106.66 90.00 90.00°
Atoms (fractional coordinates):
1 Pr 0.5000 0.2319 0.1902
2 Pr 0.5000 0.7681 0.8098
3 Pr 0.0000 0.2840 0.8143
4 Pr 0.0000 0.7160 0.1857
5 P 0.0000 0.0000 0.0000
6 Ir 0.5000 0.5000 0.0000
7 I 0.5000 0.0000 0.5000
8 I 0.0000 0.5000 0.5000

Values from the calculation:
The calculation puts the uncorrected formation energy at -1.108 eV per atom. Its crystal system is monoclinic.